No. 1
Material: Ac5Si4I2
Method: DFT, PBE
State: optimized geometry

```
data_Ac5Si4I2
_chemical_formula_sum 'Ac10 Si8 I4'
_space_group_name_H-M_alt 'C 1 2/m 1'
_space_group_IT_number 12
_cell_length_a 14.1212
_cell_length_b 8.4555
_cell_length_c 8.2753
_cell_angle_alpha 90.00
_cell_angle_beta 117.18
_cell_angle_gamma 90.00
loop_
_space_group_symop_operation_xyz
'x,y,z'
'-x,-y,-z'
'-x,y,-z'
'x,-y,z'
'x+1/2,y+1/2,z'
'-x+1/2,-y+1/2,-z'
'-x+1/2,y+1/2,-z'
'x+1/2,-y+1/2,z'
loop_
_atom_site_label
_atom_site_type_symbol
_atom_site_fract_x
_atom_site_fract_y
_atom_site_fract_z
Ac1 Ac 0.0000 0.0000 0.0000
Ac2 Ac 0.1675 0.2518 0.6631
Si1 Si 0.0054 0.0000 0.3645
Si2 Si 0.1848 0.0000 0.4060
I1 I 0.0108 0.5000 0.2754
```

No. 2
Material: Pm4Y3Ag4
Method: DFT, PBE
State: optimized geometry

```
data_Pm4Y3Ag4
_chemical_formula_sum 'Pm8 Y6 Ag8'
_space_group_name_H-M_alt 'I m m m'
_space_group_IT_number 71
_space_group_name_Hall '-I 2 2'
_cell_length_a 3.7213
_cell_length_b 9.3968
_cell_length_c 17.8991
_cell_angle_alpha 90.00
_cell_angle_beta 90.00
_cell_angle_gamma 90.00
loop_
_atom_site_label
_atom_site_type_symbol
_atom_site_fract_x
_atom_site_fract_y
_atom_site_fract_z
Pm1 Pm 0.0000 0.1851 0.1608
Y1 Y 0.0000 0.0000 0.3996
Y2 Y 0.0000 0.5000 0.5000
Ag1 Ag 0.0000 0.3093 0.0000
Ag2 Ag 0.0000 0.5000 0.2386
```

No. 3
Material: Mg2ZrHg
Method: DFT, PBE
State: optimized geometry

```
data_Mg2ZrHg
_chemical_formula_sum 'Mg4 Zr2 Hg2'
_space_group_name_H-M_alt 'I 4/m m m'
_space_group_IT_number 139
_space_group_name_Hall '-I 4 2'
_cell_length_a 4.3658
_cell_length_b 4.3658
_cell_length_c 9.2014
_cell_angle_alpha 90.00
_cell_angle_beta 90.00
_cell_angle_gamma 90.00
loop_
_atom_site_label
_atom_site_type_symbol
_atom_site_fract_x
_atom_site_fract_y
_atom_site_fract_z
Mg1 Mg 0.0000 0.5000 0.2500
Zr1 Zr 0.0000 0.0000 0.0000
Hg1 Hg 0.0000 0.0000 0.5000
```

No. 4
Material: SrLaMgGa
Method: DFT, PBE
State: optimized geometry

```
data_SrLaMgGa
_chemical_formula_sum 'Sr4 La4 Mg4 Ga4'
_space_group_name_H-M_alt 'F -4 3 m'
_space_group_IT_number 216
_space_group_name_Hall 'F -4 2 3'
_cell_length_a 7.8584
_cell_length_b 7.8584
_cell_length_c 7.8584
_cell_angle_alpha 90.00
_cell_angle_beta 90.00
_cell_angle_gamma 90.00
loop_
_atom_site_label
_atom_site_type_symbol
_atom_site_fract_x
_atom_site_fract_y
_atom_site_fract_z
Sr1 Sr 0.0000 0.0000 0.0000
La1 La 0.0000 0.0000 0.5000
Mg1 Mg 0.2500 0.2500 0.2500
Ga1 Ga 0.2500 0.2500 0.7500
```

No. 5
Material: TlCuNi3
Method: DFT, PBE
State: optimized geometry

Results
ΔE to the lowest computed polymorph in meV/atom: 0

```
data_TlCuNi3
_chemical_formula_sum 'Tl1 Cu1 Ni3'
_space_group_name_H-M_alt 'P m -3 m'
_space_group_IT_number 221
_space_group_name_Hall '-P 4 2 3'
_cell_length_a 4.3560
_cell_length_b 4.3560
_cell_length_c 4.3560
_cell_angle_alpha 90.00
_cell_angle_beta 90.00
_cell_angle_gamma 90.00
loop_
_atom_site_label
_atom_site_type_symbol
_atom_site_fract_x
_atom_site_fract_y
_atom_site_fract_z
Tl1 Tl 0.0000 0.0000 0.0000
Cu1 Cu 0.5000 0.5000 0.5000
Ni1 Ni 0.0000 0.5000 0.5000
```

No. 6
Material: La3Ga8Hg3
Method: DFT, PBE
State: optimized geometry

```
data_La3Ga8Hg3
_chemical_formula_sum 'La6 Ga16 Hg6'
_space_group_name_H-M_alt 'I m m m'
_space_group_IT_number 71
_space_group_name_Hall '-I 2 2'
_cell_length_a 4.4267
_cell_length_b 10.1509
_cell_length_c 14.0050
_cell_angle_alpha 90.00
_cell_angle_beta 90.00
_cell_angle_gamma 90.00
loop_
_atom_site_label
_atom_site_type_symbol
_atom_site_fract_x
_atom_site_fract_y
_atom_site_fract_z
La1 La 0.0000 0.0000 0.0000
La2 La 0.0000 0.0000 0.3183
Ga1 Ga 0.0000 0.2679 0.1579
Ga2 Ga 0.0000 0.3744 0.3345
Hg1 Hg 0.0000 0.2231 0.5000
Hg2 Hg 0.0000 0.5000 0.0000
```

Electronic total energy values (in eV per atom) by entry order: -4.59, -4.64, -2.95, -3.06, -3.94, -3.31.